Y8CdCo2 (PBE-GGA, relaxed); symmetry = C2/m; formation energy from the elements = -0.074 eV per atom; electronic total energy = -6.150 eV/atom
1.0
4.321 -6.599 0.000
4.321 6.599 0.000
-1.202 0.000 5.224
Y Cd Co
8 1 2
direct
0.115 0.115 0.802
0.169 0.433 0.425
0.250 0.750 0.000
0.433 0.169 0.425
0.567 0.831 0.575
0.750 0.250 0.000
0.831 0.567 0.575
0.885 0.885 0.198
0.500 0.500 0.000
0.192 0.808 0.500
0.808 0.192 0.500

SrCrBr2 (PBE-GGA, relaxed); formation energy (no corrections) = -0.659 eV/atom; symmetry = P4mm; electronic total energy = -4.322 eV/atom
1.0
3.994 0.000 0.000
0.000 3.994 0.000
0.000 0.000 7.761
Sr Cr Br
1 1 2
direct
0.000 0.000 0.000
0.500 0.500 0.711
0.000 0.000 0.596
0.500 0.500 0.197

Pm2NdY6Ho3 (PBE-GGA, relaxed); symmetry = C2/m; formation energy from the elements = 0.019 eV per atom; electronic total energy = -5.547 eV/atom
1.0
3.105 -5.374 0.000
3.105 5.374 0.000
-2.061 0.000 11.665
Pm Nd Y Ho
2 1 6 3
direct
0.167 0.833 0.000
0.833 0.167 0.000
0.500 0.500 0.000
0.082 0.415 0.747
0.251 0.251 0.253
0.415 0.082 0.747
0.585 0.918 0.253
0.749 0.749 0.747
0.918 0.585 0.253
0.000 0.000 0.500
0.333 0.667 0.500
0.667 0.333 0.500